Arrangement A

Below is a relaxed CaCrP2S crystal, with properties calculated at the PBE level.

abc: 5.1660 5.1660 5.0807
angles: 90.00 90.00 90.00
Last column: nearest neighbours and their distance in Å.
Sites, in units of the cell vectors:
Cr  0.5000  0.5000  0.5000  8 P 3.62, 4 S 3.65
Ca  0.0000  0.0000  0.0000  2 S 2.54, 4 P 2.58
S  0.0000  0.0000  0.5000  2 Ca 2.54
P  0.0000  0.5000  0.0000  2 Ca 2.58
P  0.5000  0.0000  0.0000  2 Ca 2.58

Arrangement B

Below is a relaxed CaCrP2S crystal, with properties calculated at the PBE level.

abc: 4.3242 4.3242 5.3596
angles: 90.00 90.00 90.00
Last column: nearest neighbours and their distance in Å.
Sites, in units of the cell vectors:
Cr  0.0000  0.0000  0.0000  4 P 2.16
Ca  0.5000  0.5000  0.5000  4 S 3.06
S  0.0000  0.0000  0.5000  2 Cr 2.68
P  0.0000  0.5000  0.0000  2 Cr 2.16
P  0.5000  0.0000  0.0000  2 Cr 2.16

Short version: arrangement A is the least stable of them.

Arrangement A

Below is a relaxed CaCrPb3 crystal, with properties calculated at the PBE level.

abc: 5.7077 5.7077 5.7077
angles: 90.00 90.00 90.00
Last column: nearest neighbours and their distance in Å.
Sites, in units of the cell vectors:
Pb  0.0000  0.5000  0.0000  2 Ca 2.85
Pb  0.0000  0.0000  0.5000  2 Ca 2.85
Pb  0.5000  0.0000  0.0000  2 Ca 2.85
Cr  0.5000  0.5000  0.5000  12 Pb 4.04
Ca  0.0000  0.0000  0.0000  6 Pb 2.85

Arrangement B

Below is a relaxed CaCrPb3 crystal, with properties calculated at the PBE level.

abc: 5.3000 5.3000 5.3000
angles: 90.00 90.00 90.00
Last column: nearest neighbours and their distance in Å.
Sites, in units of the cell vectors:
Pb  0.0000  0.5000  0.0000  2 Cr 2.65
Pb  0.0000  0.0000  0.5000  2 Cr 2.65
Pb  0.5000  0.0000  0.0000  2 Cr 2.65
Cr  0.0000  0.0000  0.0000  6 Pb 2.65
Ca  0.5000  0.5000  0.5000  12 Pb 3.75

Short version: arrangement A is the least stable of them.

Arrangement A

Below is a relaxed CaCr2Pd crystal, with properties calculated at the PBE level.

abc: 4.1366 4.1366 9.9554
angles: 78.01 78.01 90.00
Last column: nearest neighbours and their distance in Å.
Sites, in units of the cell vectors:
Cr  0.8750  0.1250  0.2500  2 Cr 2.07
Cr  0.8750  0.6250  0.2500  2 Cr 2.07
Cr  0.3750  0.1250  0.7500  2 Cr 2.07
Cr  0.8750  0.1250  0.7500  2 Cr 2.07
Ca  0.5000  0.5000  0.0000  4 Pd 2.93
Ca  0.2500  0.7500  0.5000  4 Pd 2.93
Pd  0.0000  0.0000  0.0000  4 Cr 2.59
Pd  0.7500  0.2500  0.5000  4 Cr 2.59

Arrangement B

Below is a relaxed CaCr2Pd crystal, with properties calculated at the PBE level.

abc: 4.4628 4.4628 4.4628
angles: 60.00 60.00 60.00
Last column: nearest neighbours and their distance in Å.
Sites, in units of the cell vectors:
Cr  0.2500  0.2500  0.2500  4 Pd 2.73, 4 Ca 2.73
Cr  0.7500  0.7500  0.7500  4 Ca 2.73, 4 Pd 2.73
Ca  0.0000  0.0000  0.0000  8 Cr 2.73
Pd  0.5000  0.5000  0.5000  8 Cr 2.73

Short version: arrangement B is the least stable of them.